# 1
# LaTiS3

Crystalline LaTiS3 at its relaxed geometry (PBEsol, the Alexandria database).

Values from the calculation:
ρ = 4.9 g/cm3
E_form (uncorrected) = -1855.7 meV per atom
Total moment = 2.55 μB/cell
D(E_F) = 0.467 states/eV/atom

Lattice parameters (Å, degrees): 7.885 3.720 13.140 90.00 90.00 90.00
Space group Pnma (No. 62)
One atom of each set of equivalent atoms:
La: 0.079 0.250 0.170 x4
Ti: 0.147 0.750 0.449 x4
S: 0.029 0.750 0.614 x4
S: 0.164 0.750 0.006 x4
S: 0.202 0.250 0.787 x4

# 2
# BAuBr2

Crystalline BAuBr2 at its relaxed geometry (PBEsol, the Alexandria database).

Values from the calculation:
ρ = 6.2 g/cm3
E_form (uncorrected) = 968.2 meV per atom
Total moment = 0.00 μB/cell
D(E_F) = 0.014 states/eV/atom

Lattice parameters (Å, degrees): 5.317 5.317 14.036 90.00 90.00 90.00
Space group I-42d (No. 122)
One atom of each set of equivalent atoms:
B: 0.000 0.000 0.000 x4
Au: 0.000 0.000 0.500 x4
Br: 0.225 0.250 0.125 x8

# 3
# TiZnPt

Crystalline TiZnPt at its relaxed geometry (PBEsol, the Alexandria database).

Values from the calculation:
DFT formation energy = -0.70 eV/atom
ρ = 11.4 g/cm3
Total moment = 0.00 μB/cell
D(E_F) = 0.369 states/eV/atom

Lattice parameters (Å, degrees): 4.3895 4.3895 5.3699 90.00 90.00 120.00
Space group P-3m1 (No. 164)
One atom of each set of equivalent atoms:
Ti: 0.3333 0.6667 0.2910 x2
Zn: 0.0000 0.0000 0.0000 x1
Zn: 0.0000 0.0000 0.5000 x1
Pt: 0.3333 0.6667 0.7676 x2

# 4
# Li2BePt

Crystalline Li2BePt at its relaxed geometry (PBEsol, the Alexandria database).

Values from the calculation:
DFT formation energy = -0.40 eV/atom
ρ = 7.8 g/cm3
Total moment = 0.00 μB/cell
D(E_F) = 0.297 states/eV/atom

Lattice parameters (Å, degrees): 2.786 3.882 8.590 90.00 90.00 90.00
Space group Immm (No. 71)
One atom of each set of equivalent atoms:
Li: 0.000 0.000 0.239 x4
Be: 0.000 0.500 0.500 x2
Pt: 0.000 0.500 0.000 x2

# 5
# YGaS3

Crystalline YGaS3 at its relaxed geometry (PBEsol, the Alexandria database).

Values from the calculation:
ρ = 3.0 g/cm3
E_form (uncorrected) = -436.6 meV per atom
Total moment = 0.66 μB/cell
D(E_F) = 1.443 states/eV/atom

Lattice parameters (Å, degrees): 5.187 5.187 5.187 90.00 90.00 90.00
Space group Pm-3m (No. 221)
One atom of each set of equivalent atoms:
Y: 0.000 0.000 0.000 x1
Ga: 0.500 0.500 0.500 x1
S: 0.000 0.000 0.500 x3

# 6
# LaCoSi3

Crystalline LaCoSi3 at its relaxed geometry (PBEsol, the Alexandria database).

Values from the calculation:
ρ = 5.7 g/cm3
E_form (uncorrected) = -769.3 meV per atom
Total moment = 0.00 μB/cell
D(E_F) = 0.371 states/eV/atom

Lattice parameters (Å, degrees): 4.135 4.135 9.565 90.00 90.00 90.00
Space group I4mm (No. 107)
One atom of each set of equivalent atoms:
La: 0.000 0.000 0.000 x2
Co: 0.000 0.000 0.344 x2
Si: 0.000 0.000 0.579 x2
Si: 0.000 0.500 0.244 x4

# 7
# SrIn3Au

Crystalline SrIn3Au at its relaxed geometry (PBEsol, the Alexandria database).

Values from the calculation:
DFT formation energy = -0.48 eV/atom
ρ = 8.2 g/cm3
Total moment = 0.00 μB/cell
D(E_F) = 0.404 states/eV/atom

Lattice parameters (Å, degrees): 4.507 4.507 12.557 90.00 90.00 90.00
Space group I4mm (No. 107)
One atom of each set of equivalent atoms:
Sr: 0.000 0.000 0.000 x2
In: 0.000 0.000 0.615 x2
In: 0.000 0.500 0.268 x4
Au: 0.000 0.000 0.402 x2

# 8
# Te4Rh3

Crystalline Te4Rh3 at its relaxed geometry (PBEsol, the Alexandria database).

Values from the calculation:
ρ = 9.1 g/cm3
E_form (uncorrected) = -395.6 meV per atom
Total moment = 0.00 μB/cell
D(E_F) = 0.621 states/eV/atom

Lattice parameters (Å, degrees): 12.659 4.000 6.810 90.00 119.80 90.00
Space group C2/m (No. 12)
One atom of each set of equivalent atoms:
Te: 0.119 0.000 0.457 x4
Te: 0.135 0.500 0.981 x4
Rh: 0.000 0.000 0.000 x2
Rh: 0.236 0.500 0.721 x4

# 9
# K5Au

Crystalline K5Au at its relaxed geometry (PBEsol, the Alexandria database).

Values from the calculation:
DFT formation energy = -0.03 eV/atom
ρ = 2.1 g/cm3
Total moment = 0.00 μB/cell
D(E_F) = 0.584 states/eV/atom

Lattice parameters (Å, degrees): 4.178 4.178 18.096 90.00 90.00 90.00
Space group P4/mmm (No. 123)
One atom of each set of equivalent atoms:
K: 0.000 0.000 0.000 x1
K: 0.000 0.000 0.403 x2
K: 0.500 0.500 0.201 x2
Au: 0.500 0.500 0.500 x1

# 10
# Zn2FeCl

Crystalline Zn2FeCl at its relaxed geometry (PBEsol, the Alexandria database).

Values from the calculation:
ρ = 6.3 g/cm3
E_form (uncorrected) = 90.6 meV per atom
Total moment = 4.16 μB/cell
D(E_F) = 0.495 states/eV/atom

Lattice parameters (Å, degrees): 3.640 4.409 7.348 90.00 90.00 90.00
Space group Cmmm (No. 65)
One atom of each set of equivalent atoms:
Zn: 0.000 0.000 0.226 x4
Fe: 0.000 0.500 0.000 x2
Cl: 0.000 0.500 0.500 x2

# 11
# CoSbTe2I

Crystalline CoSbTe2I at its relaxed geometry (PBEsol, the Alexandria database).

Values from the calculation:
ρ = 7.4 g/cm3
E_form (uncorrected) = 281.1 meV per atom
Total moment = 0.01 μB/cell
D(E_F) = 1.272 states/eV/atom

Lattice parameters (Å, degrees): 5.043 5.043 4.940 90.00 90.00 90.00
Space group P4/mmm (No. 123)
One atom of each set of equivalent atoms:
Co: 0.000 0.000 0.000 x1
Sb: 0.000 0.000 0.500 x1
Te: 0.000 0.500 0.000 x2
I: 0.500 0.500 0.500 x1

# 12
# YZrW2

Crystalline YZrW2 at its relaxed geometry (PBEsol, the Alexandria database).

Values from the calculation:
DFT formation energy = 0.49 eV/atom
ρ = 12.1 g/cm3
Total moment = 0.00 μB/cell
D(E_F) = 1.081 states/eV/atom

Lattice parameters (Å, degrees): 5.759 9.683 2.851 90.00 109.23 90.00
Space group C2/m (No. 12)
One atom of each set of equivalent atoms:
Y: 0.000 0.000 0.000 x2
Zr: 0.000 0.500 0.000 x2
W: 0.250 0.250 0.500 x4

# 13
# TlIn2Hg

Crystalline TlIn2Hg at its relaxed geometry (PBEsol, the Alexandria database).

Values from the calculation:
DFT formation energy = 0.00 eV/atom
ρ = 10.3 g/cm3
Total moment = 0.00 μB/cell
D(E_F) = 0.521 states/eV/atom

Lattice parameters (Å, degrees): 3.4296 3.4296 29.9964 90.00 90.00 120.00
Space group R-3m (No. 166, hexagonal axes)
One atom of each set of equivalent atoms:
Tl: 0.0000 0.0000 0.0000 x3
In: 0.0000 0.0000 0.2453 x6
Hg: 0.0000 0.0000 0.5000 x3

# 14
# GaSbH2

Crystalline GaSbH2 at its relaxed geometry (PBEsol, the Alexandria database).

Values from the calculation:
ρ = 5.8 g/cm3
Total moment = 0.00 μB/cell
Total energy = -52.15 eV for the cell shown
D(E_F) = 0.336 states/eV/atom

Lattice parameters (Å, degrees): 5.337 5.337 7.746 90.00 90.00 90.00
Space group I-42d (No. 122)
One atom of each set of equivalent atoms:
Ga: 0.000 0.000 0.000 x4
Sb: 0.000 0.000 0.500 x4
H: 0.093 0.250 0.125 x8

# 15
# Zr2CdTc

Crystalline Zr2CdTc at its relaxed geometry (PBEsol, the Alexandria database).

Values from the calculation:
DFT formation energy = -0.16 eV/atom
ρ = 8.7 g/cm3
Total moment = 0.00 μB/cell
D(E_F) = 0.741 states/eV/atom

Lattice parameters (Å, degrees): 4.675 4.675 3.432 90.00 90.00 90.00
Space group P4/mmm (No. 123)
One atom of each set of equivalent atoms:
Zr: 0.000 0.500 0.000 x2
Cd: 0.000 0.000 0.500 x1
Tc: 0.500 0.500 0.500 x1

# 16
# Fe2Se

Crystalline Fe2Se at its relaxed geometry (PBEsol, the Alexandria database).

Values from the calculation:
ρ = 7.8 g/cm3
E_form (uncorrected) = 259.3 meV per atom
Total moment = 4.60 μB/cell
D(E_F) = 0.948 states/eV/atom

Lattice parameters (Å, degrees): 2.9696 2.9696 5.3205 90.00 90.00 120.00
Space group P-3m1 (No. 164)
One atom of each set of equivalent atoms:
Fe: 0.3333 0.6667 0.3470 x2
Se: 0.0000 0.0000 0.0000 x1

# 17
# Li2CoAsS

Crystalline Li2CoAsS at its relaxed geometry (PBEsol, the Alexandria database).

Values from the calculation:
ρ = 3.0 g/cm3
E_form (uncorrected) = 661.0 meV per atom
Total moment = 2.49 μB/cell
D(E_F) = 1.648 states/eV/atom

Lattice parameters (Å, degrees): 4.439 4.439 5.035 90.00 90.00 90.00
Space group P4/mmm (No. 123)
One atom of each set of equivalent atoms:
Li: 0.000 0.500 0.000 x2
Co: 0.000 0.000 0.500 x1
As: 0.500 0.500 0.000 x1
S: 0.500 0.500 0.500 x1

# 18
# LiYIr2

Crystalline LiYIr2 at its relaxed geometry (PBEsol, the Alexandria database).

Values from the calculation:
DFT formation energy = -0.18 eV/atom
ρ = 12.0 g/cm3
Total moment = 0.00 μB/cell
D(E_F) = 0.610 states/eV/atom

Lattice parameters (Å, degrees): 3.114 4.553 9.356 90.00 90.00 90.00
Space group Imm2 (No. 44)
One atom of each set of equivalent atoms:
Li: 0.000 0.000 0.000 x2
Y: 0.000 0.500 0.223 x2
Ir: 0.000 0.000 0.461 x2
Ir: 0.000 0.500 0.736 x2

# 19
# CdCu2Mo

Crystalline CdCu2Mo at its relaxed geometry (PBEsol, the Alexandria database).

Values from the calculation:
DFT formation energy = 0.50 eV/atom
ρ = 9.3 g/cm3
Total moment = 0.00 μB/cell
D(E_F) = 0.565 states/eV/atom

Lattice parameters (Å, degrees): 2.633 4.884 9.281 90.00 90.00 90.00
Space group Immm (No. 71)
One atom of each set of equivalent atoms:
Cd: 0.000 0.000 0.000 x2
Cu: 0.000 0.500 0.245 x4
Mo: 0.000 0.000 0.500 x2

# 20
# ErBiO3

Crystalline ErBiO3 at its relaxed geometry (PBEsol, the Alexandria database).

Values from the calculation:
ρ = 9.4 g/cm3
E_form (uncorrected) = -2435.5 meV per atom
Total moment = 0.00 μB/cell
D(E_F) = 0.000 states/eV/atom

Lattice parameters (Å, degrees): 5.9212 5.9212 14.8310 90.00 90.00 120.00
Space group R3c (No. 161, hexagonal axes)
One atom of each set of equivalent atoms:
Er: 0.0000 0.0000 0.0000 x6
Bi: 0.0000 0.0000 0.2834 x6
O: 0.0756 0.3705 0.0594 x18

# 21
# ScNiSe2Br

Crystalline ScNiSe2Br at its relaxed geometry (PBEsol, the Alexandria database).

Values from the calculation:
ρ = 5.5 g/cm3
E_form (uncorrected) = -372.8 meV per atom
Total moment = 0.00 μB/cell
D(E_F) = 0.316 states/eV/atom

Lattice parameters (Å, degrees): 4.711 4.711 4.603 90.00 90.00 90.00
Space group P4/mmm (No. 123)
One atom of each set of equivalent atoms:
Sc: 0.000 0.000 0.000 x1
Ni: 0.500 0.500 0.500 x1
Se: 0.000 0.500 0.500 x2
Br: 0.500 0.500 0.000 x1

# 22
# HgB2F2

Crystalline HgB2F2 at its relaxed geometry (PBEsol, the Alexandria database).

Values from the calculation:
ρ = 8.2 g/cm3
E_form (uncorrected) = 421.9 meV per atom
Total moment = 0.00 μB/cell
D(E_F) = 0.383 states/eV/atom

Lattice parameters (Å, degrees): 3.491 3.491 8.681 90.00 90.00 90.00
Space group I4/mmm (No. 139)
One atom of each set of equivalent atoms:
Hg: 0.000 0.000 0.000 x2
B: 0.000 0.000 0.409 x4
F: 0.000 0.500 0.250 x4

# 23
# ScTiNiMo2

Crystalline ScTiNiMo2 at its relaxed geometry (PBEsol, the Alexandria database).

Values from the calculation:
DFT formation energy = 1.48 eV/atom
ρ = 6.1 g/cm3
Total moment = 0.04 μB/cell
D(E_F) = 1.616 states/eV/atom

Lattice parameters (Å, degrees): 4.432 4.432 4.750 90.00 90.00 90.00
Space group P4/mmm (No. 123)
One atom of each set of equivalent atoms:
Sc: 0.000 0.000 0.000 x1
Ti: 0.000 0.000 0.500 x1
Ni: 0.500 0.500 0.000 x1
Mo: 0.000 0.500 0.500 x2

# 24
# LaNi3

Crystalline LaNi3 at its relaxed geometry (PBEsol, the Alexandria database).

Values from the calculation:
DFT formation energy = -0.25 eV/atom
ρ = 8.0 g/cm3
Total moment = 0.00 μB/cell
D(E_F) = 0.984 states/eV/atom

Lattice parameters (Å, degrees): 4.025 6.280 5.149 90.00 90.00 90.00
Space group Pmmn (No. 59, origin choice 2)
One atom of each set of equivalent atoms:
La: 0.250 0.250 0.126 x2
Ni: 0.250 0.055 0.608 x4
Ni: 0.250 0.750 0.333 x2

# 25
# Ta2NiH2

Crystalline Ta2NiH2 at its relaxed geometry (PBEsol, the Alexandria database).

Values from the calculation:
ρ = 13.8 g/cm3
Total moment = 0.00 μB/cell
Total energy = -77.51 eV for the cell shown
D(E_F) = 0.666 states/eV/atom

Lattice parameters (Å, degrees): 2.901 2.901 12.043 90.00 90.00 90.00
Space group I4/mmm (No. 139)
One atom of each set of equivalent atoms:
Ta: 0.000 0.000 0.140 x4
Ni: 0.000 0.000 0.500 x2
H: 0.000 0.500 0.250 x4

# 26
# ZnTcAs

Crystalline ZnTcAs at its relaxed geometry (PBEsol, the Alexandria database).

Values from the calculation:
DFT formation energy = -0.16 eV/atom
ρ = 9.4 g/cm3
Total moment = 0.00 μB/cell
D(E_F) = 0.058 states/eV/atom

Lattice parameters (Å, degrees): 3.175 3.175 8.397 90.00 90.00 90.00
Space group I4mm (No. 107)
One atom of each set of equivalent atoms:
Zn: 0.000 0.000 0.000 x2
Tc: 0.000 0.000 0.322 x2
As: 0.000 0.000 0.678 x2

# 27
# CsSb2Te2

Crystalline CsSb2Te2 at its relaxed geometry (PBEsol, the Alexandria database).

Values from the calculation:
ρ = 5.9 g/cm3
E_form (uncorrected) = -172.8 meV per atom
Total moment = 0.00 μB/cell
D(E_F) = 0.314 states/eV/atom

Lattice parameters (Å, degrees): 9.538 9.538 3.927 90.00 90.00 90.00
Space group P4/mbm (No. 127)
One atom of each set of equivalent atoms:
Cs: 0.000 0.000 0.000 x2
Sb: 0.202 0.298 0.500 x4
Te: 0.146 0.646 0.000 x4